# 1
# Tb2MnHg, optimized geometry, DFT PBE-GGA
# Theoretical density ... 9.84 Mg/m³
# ΔE to the lowest computed polymorph ... 0.000 eV per atom
# Calculated total energy ... -4.83 eV per atom
# Formation enthalpy at 0 K ... -0.15 eV per atom
data_Tb2MnHg
_chemical_formula_sum 'Tb2 Mn1 Hg1'
_space_group_name_H-M_alt 'P 4/m m m'
_space_group_IT_number 123
_space_group_name_Hall '-P 4 2'
_cell_length_a 3.560
_cell_length_b 3.560
_cell_length_c 7.631
_cell_angle_alpha 90.00
_cell_angle_beta 90.00
_cell_angle_gamma 90.00
loop_
_atom_site_label
_atom_site_fract_x
_atom_site_fract_y
_atom_site_fract_z
_atom_site_occupancy
Tb1 0.000 0.000 0.230 1
Mn1 0.500 0.500 0.000 1
Hg1 0.500 0.500 0.500 1


# 2
# NdSmHo, optimized geometry, DFT PBE-GGA
# Theoretical density ... 7.61 Mg/m³
# ΔE to the lowest computed polymorph ... 0.025 eV per atom
# Calculated total energy ... -4.64 eV per atom
# Formation enthalpy at 0 K ... 0.05 eV per atom
data_NdSmHo
_chemical_formula_sum 'Nd4 Sm4 Ho4'
_space_group_name_H-M_alt 'C m c 21'
_space_group_IT_number 36
_space_group_name_Hall 'C 2c -2'
_cell_length_a 3.707
_cell_length_b 17.594
_cell_length_c 6.152
_cell_angle_alpha 90.00
_cell_angle_beta 90.00
_cell_angle_gamma 90.00
loop_
_atom_site_label
_atom_site_fract_x
_atom_site_fract_y
_atom_site_fract_z
_atom_site_occupancy
Nd1 0.000 0.250 0.000 1
Sm1 0.000 0.082 0.665 1
Ho1 0.000 0.416 0.663 1


# 3
# Ti2GeOs, optimized geometry, DFT PBE-GGA
# Theoretical density ... 9.78 Mg/m³
# Calculated total energy ... -8.36 eV per atom
# Formation enthalpy at 0 K ... -0.45 eV per atom
data_Ti2GeOs
_chemical_formula_sum 'Ti2 Ge1 Os1'
_space_group_name_H-M_alt 'P 4/m m m'
_space_group_IT_number 123
_space_group_name_Hall '-P 4 2'
_cell_length_a 3.262
_cell_length_b 3.262
_cell_length_c 5.724
_cell_angle_alpha 90.00
_cell_angle_beta 90.00
_cell_angle_gamma 90.00
loop_
_atom_site_label
_atom_site_fract_x
_atom_site_fract_y
_atom_site_fract_z
_atom_site_occupancy
Ti1 0.000 0.000 0.247 1
Ge1 0.500 0.500 0.000 1
Os1 0.500 0.500 0.500 1